Record 1
The following is a PBE calculation of crystalline Ti2FeCo at its relaxed geometry, from the Alexandria database.

Values from the calculation:
formation energy	-0.40	eV/atom
D(E_F)	2.24	states/eV per cell

a b c (Å): 4.1972 4.1972 4.1972
angles (deg): 60.00 60.00 60.00
Closest atoms and distances in Å follow each position.
Positions (direct):
Ti 0.2500 0.2500 0.2500  4 Co 2.57, 4 Fe 2.57
Ti 0.7500 0.7500 0.7500  4 Fe 2.57, 4 Co 2.57
Fe 0.0000 0.0000 0.0000  8 Ti 2.57
Co 0.5000 0.5000 0.5000  8 Ti 2.57

Record 2
The following is a PBE calculation of crystalline TlSiPb2 at its relaxed geometry, from the Alexandria database.

Values from the calculation:
formation energy from raw total energies	0.249	eV/atom
D(E_F)	2.58	states/eV per cell

a b c (Å): 3.5527 3.5527 8.8644
angles (deg): 90.00 90.00 90.00
Closest atoms and distances in Å follow each position.
Positions (direct):
Tl 0.0000 0.0000 0.0000  4 Tl 3.55, 8 Pb 3.64
Si 0.0000 0.0000 0.5000  8 Pb 3.09
Pb 0.5000 0.5000 0.2966  4 Si 3.09
Pb 0.5000 0.5000 0.7034  4 Si 3.09

Record 3
The following is a PBE calculation of crystalline TbCe2TlCo at its relaxed geometry, from the Alexandria database.

Values from the calculation:
formation energy	-0.23	eV/atom
D(E_F)	8.22	states/eV per cell

a b c (Å): 4.9465 4.9465 5.5188
angles (deg): 90.00 90.00 90.00
Closest atoms and distances in Å follow each position.
Positions (direct):
Tb 0.0000 0.0000 0.0000  2 Co 2.76
Ce 0.0000 0.5000 0.5000  2 Co 2.47
Ce 0.5000 0.0000 0.5000  2 Co 2.47
Tl 0.5000 0.5000 0.0000  4 Tb 3.50, 8 Ce 3.71
Co 0.0000 0.0000 0.5000  4 Ce 2.47, 2 Tb 2.76